BaAc2CoO5 | GGA+U | relaxed

```
data_BaAc2CoO5
_space_group_name_H-M_alt 'I m m m'
_space_group_IT_number 71
_space_group_name_Hall '-I 2 2'
_cell_length_a 3.906
_cell_length_b 6.193
_cell_length_c 12.190
_cell_angle_alpha 90.00
_cell_angle_beta 90.00
_cell_angle_gamma 90.00
loop_
_atom_site_label
_atom_site_fract_x
_atom_site_fract_y
_atom_site_fract_z
Ba1 0.000 0.000 0.000
Ac1 0.000 0.500 0.202
Co1 0.000 0.000 0.500
O1 0.000 0.245 0.361
O2 0.000 0.500 0.000
```

Values from the calculation:
Crystal system = orthorhombic
Calculated volume = 294.9 Å³ per cell
Total DFT energy (no corrections) = -7.05 eV/atom